(1)
Compound: ZrSbRu
Source: Alexandria
Functional: PBE
Structure: optimized geometry

a = 5.1222 Å, b = 5.1222 Å, c = 5.1222 Å
α = 143.36°, β = 133.90°, γ = 60.28°
Fractional positions:
Zr1 0.0000 0.0000 0.0000
Sb1 0.6745 0.6745 0.0000
Ru1 0.3271 0.3271 0.0000

Computed properties:
E_tot	-7.534	eV per atom
spin magnetization	0.00	μB per formula unit
space-group type	Imm2, No. 44
formation energy (no corrections)	-0.218	eV per atom
ρ	9.12	Mg/m³

(2)
Compound: YCd2Mo
Source: Alexandria
Functional: PBE
Structure: optimized geometry

a = 3.0274 Å, b = 4.6647 Å, c = 6.2559 Å
α = 90.00°, β = 103.89°, γ = 90.00°
Fractional positions:
Y1 0.0000 0.0000 0.0000
Cd1 0.6272 0.5000 0.2547
Cd2 0.7521 0.0000 0.5135
Mo1 0.3675 0.5000 0.7390

Computed properties:
E_tot	-4.487	eV per atom
spin magnetization	0.00	μB per formula unit
space-group type	Pm, No. 6
ΔH_f (0 K)	0.29	eV per atom
ρ	7.93	Mg/m³

(3)
Compound: Nd10Sn3Bi3
Source: Alexandria
Functional: PBE
Structure: optimized geometry

a = 9.4217 Å, b = 9.4217 Å, c = 6.6996 Å
α = 90.00°, β = 90.00°, γ = 120.00°
Fractional positions:
Nd1 0.0000 0.2431 0.0000
Nd2 0.0000 0.7567 0.5000
Nd3 0.2431 0.0000 0.0000
Nd4 0.2433 0.2433 0.5000
Nd5 0.3333 0.6667 0.2538
Nd6 0.3333 0.6667 0.7462
Nd7 0.6667 0.3333 0.2538
Nd8 0.6667 0.3333 0.7462
Nd9 0.7567 0.0000 0.5000
Nd10 0.7569 0.7569 0.0000
Sn1 0.0000 0.3905 0.5000
Sn2 0.3905 0.0000 0.5000
Sn3 0.6095 0.6095 0.5000
Bi1 0.0000 0.6091 0.0000
Bi2 0.3909 0.3909 0.0000
Bi3 0.6091 0.0000 0.0000

Computed properties:
E_tot	-5.197	eV per atom
spin magnetization	0.01	μB per formula unit
space-group type	P-62m, No. 189
ΔH_f (0 K)	-0.74	eV per atom
ρ	7.82	Mg/m³

(4)
Compound: Hg2IrPb
Source: Alexandria
Functional: PBE
Structure: optimized geometry

a = 3.3558 Å, b = 5.1250 Å, c = 5.4668 Å
α = 90.00°, β = 107.13°, γ = 90.00°
Fractional positions:
Hg1 0.1490 0.0000 0.2723
Hg2 0.8510 0.0000 0.7277
Ir1 0.5000 0.5000 0.5000
Pb1 0.5000 0.5000 0.0000

Computed properties:
E_tot	-2.864	eV per atom
spin magnetization	0.00	μB per formula unit
space-group type	P2/m, No. 10
ΔH_f (0 K)	0.43	eV per atom
ρ	14.80	Mg/m³

(5)
Compound: KNbS2
Source: Alexandria
Functional: PBE
Structure: optimized geometry

a = 6.7847 Å, b = 6.7847 Å, c = 6.7847 Å
α = 116.52°, β = 116.52°, γ = 96.14°
Fractional positions:
K1 0.0000 0.0000 0.0000
K2 0.7500 0.2500 0.5000
Nb1 0.2500 0.7500 0.5000
Nb2 0.5000 0.5000 0.0000
S1 0.2131 0.6250 0.0881
S2 0.3750 0.4631 0.5881
S3 0.5369 0.1250 0.9119
S4 0.8750 0.7869 0.4119

Computed properties:
E_tot	-5.680	eV per atom
spin magnetization	2.00	μB per formula unit
space-group type	I-42d, No. 122
formation energy (no corrections)	-0.824	eV per atom
ρ	2.82	Mg/m³

(6)
Compound: Pr8Al2Ge
Source: Alexandria
Functional: PBE
Structure: optimized geometry

a = 9.8956 Å, b = 9.8956 Å, c = 7.1444 Å
α = 106.48°, β = 106.48°, γ = 30.51°
Fractional positions:
Pr1 0.0131 0.0131 0.2712
Pr2 0.2096 0.2096 0.8064
Pr3 0.3427 0.3427 0.5322
Pr4 0.4058 0.4058 0.0395
Pr5 0.5942 0.5942 0.9605
Pr6 0.6573 0.6573 0.4678
Pr7 0.7904 0.7904 0.1936
Pr8 0.9869 0.9869 0.7288
Al1 0.1780 0.1780 0.2263
Al2 0.8220 0.8220 0.7737
Ge1 0.5000 0.5000 0.5000

Computed properties:
E_tot	-4.819	eV per atom
spin magnetization	0.00	μB per formula unit
space-group type	C2/m, No. 12
ΔH_f (0 K)	-0.24	eV per atom
ρ	6.13	Mg/m³